(1)
A geometry-optimized AcPu structure, computed with GGA-PBE.

Polymorph energy (0 for the lowest one), meV/atom: 0.0
Calculated volume, A^3/atom: 38.0
Energy, eV per atom: -8.8860
ΔH_f (0 K), eV/atom: 0.230

Lattice parameters (Å, degrees): 3.7928 3.7928 6.0968 90.00 90.00 120.00
Last column: nearest neighbours and their distance in Å.
Fractional positions:
Ac 0.0000 0.0000 0.0000  6 Pu 3.75, 6 Ac 3.79
Pu 0.6667 0.3333 0.5000  6 Ac 3.75, 6 Pu 3.79

=====

(2)
A geometry-optimized GdUAs structure, computed with GGA-PBE.

Polymorph energy (0 for the lowest one), meV/atom: 0.0
Calculated volume, A^3/atom: 27.2
Energy, eV per atom: -7.0120

Lattice parameters (Å, degrees): 4.8706 4.8706 4.8706 60.00 60.00 60.00
Last column: nearest neighbours and their distance in Å.
Fractional positions:
Gd 0.0000 0.0000 0.0000  4 As 2.98
U 0.5000 0.5000 0.5000  4 As 2.98
As 0.2500 0.2500 0.2500  4 Gd 2.98, 4 U 2.98

=====

(3)
A geometry-optimized HfBeSi structure, computed with GGA-PBE.

Polymorph energy (0 for the lowest one), meV/atom: 249.3
Calculated volume, A^3/atom: 13.8
Energy, eV per atom: -6.7831

Lattice parameters (Å, degrees): 5.1333 3.5978 8.9947 90.00 90.00 90.00
Last column: nearest neighbours and their distance in Å.
Fractional positions:
Hf 0.2499 0.2500 0.0419  5 Be 2.60-2.80, 4 Si 2.89-2.90
Hf 0.2501 0.7500 0.5419  5 Be 2.60-2.80, 4 Si 2.89-2.90
Hf 0.7499 0.2500 0.4581  5 Be 2.60-2.80, 4 Si 2.89-2.90
Hf 0.7501 0.7500 0.9581  5 Be 2.60-2.80, 4 Si 2.89-2.90
Be 0.2491 0.2500 0.3339  4 Si 2.33-2.34, 2 Hf 2.60
Be 0.2509 0.7500 0.8339  4 Si 2.33-2.34, 2 Hf 2.60
Be 0.7491 0.2500 0.1661  4 Si 2.33-2.34, 2 Hf 2.60
Be 0.7509 0.7500 0.6661  4 Si 2.33-2.34, 2 Hf 2.60
Si 0.0010 0.2500 0.7501  4 Be 2.33-2.34, 2 Si 2.57
Si 0.4990 0.7500 0.2501  4 Be 2.33-2.34, 2 Si 2.57
Si 0.5010 0.2500 0.7499  4 Be 2.33-2.34, 2 Si 2.57
Si 0.9990 0.7500 0.2499  4 Be 2.33-2.34, 2 Si 2.57

=====

(4)
A geometry-optimized LiLu2Os structure, computed with GGA-PBE.

Polymorph energy (0 for the lowest one), meV/atom: 0.0
Calculated volume, A^3/atom: 22.9
Energy, eV per atom: -5.4646

Lattice parameters (Å, degrees): 4.1547 4.1547 12.2323 90.00 90.00 120.00
Last column: nearest neighbours and their distance in Å.
Fractional positions:
Li 0.3333 0.6667 0.2500  3 Os 2.40
Li 0.6667 0.3333 0.7500  3 Os 2.40
Lu 0.3333 0.6667 0.6191  3 Os 2.88, 3 Li 2.88, 1 Lu 3.20
Lu 0.3333 0.6667 0.8809  3 Os 2.88, 3 Li 2.88, 1 Lu 3.20
Lu 0.6667 0.3333 0.1191  3 Os 2.88, 3 Li 2.88, 1 Lu 3.20
Lu 0.6667 0.3333 0.3809  3 Os 2.88, 3 Li 2.88, 1 Lu 3.20
Os 0.0000 0.0000 0.2500  3 Li 2.40
Os 0.0000 0.0000 0.7500  3 Li 2.40

=====

(5)
A geometry-optimized K2PdC4S4N4 structure, computed with GGA-PBE.

Calculated volume, A^3/atom: 20.1
Energy, eV per atom: -6.4024

Lattice parameters (Å, degrees): 4.2353 12.8889 11.1428 90.00 98.31 90.00
Last column: nearest neighbours and their distance in Å.
Fractional positions:
K 0.2200 0.1442 0.0287  5 N 2.76-3.04
K 0.2200 0.3558 0.5287  5 N 2.76-3.04
K 0.7800 0.6442 0.4713  5 N 2.76-3.04
K 0.7800 0.8558 0.9713  5 N 2.76-3.04
Pd 0.5000 0.0000 0.5000  4 S 2.34-2.37
Pd 0.5000 0.5000 0.0000  4 S 2.34-2.37
C 0.2656 0.6550 0.2042  1 N 1.18
C 0.2656 0.8450 0.7042  1 N 1.18
C 0.4670 0.5752 0.7248  1 N 1.19
C 0.4670 0.9248 0.2248  1 N 1.19
C 0.5330 0.0752 0.7752  1 N 1.19
C 0.5330 0.4248 0.2752  1 N 1.19
C 0.7344 0.1550 0.2958  1 N 1.18
C 0.7344 0.3450 0.7958  1 N 1.18
S 0.2802 0.0948 0.6499  1 C 1.65
S 0.2802 0.4052 0.1499  1 C 1.65
S 0.3579 0.6639 0.0654  1 C 1.65
S 0.3579 0.8361 0.5654  1 C 1.65
S 0.6421 0.1639 0.4346  1 C 1.65
S 0.6421 0.3361 0.9346  1 C 1.65
S 0.7198 0.5948 0.8501  1 C 1.65
S 0.7198 0.9052 0.3501  1 C 1.65
N 0.1992 0.6539 0.3035  1 C 1.18
N 0.1992 0.8461 0.8035  1 C 1.18
N 0.3046 0.5642 0.6297  1 C 1.19
N 0.3046 0.9358 0.1297  1 C 1.19
N 0.6954 0.0642 0.8703  1 C 1.19
N 0.6954 0.4358 0.3703  1 C 1.19
N 0.8008 0.1539 0.1965  1 C 1.18
N 0.8008 0.3461 0.6965  1 C 1.18

=====

(6)
A geometry-optimized PrNi3 structure, computed with GGA-PBE.

Calculated volume, A^3/atom: 15.7
Energy, eV per atom: -5.3109
ΔH_f (0 K), eV/atom: 0.059

Lattice parameters (Å, degrees): 4.4621 4.4621 4.4621 60.00 60.00 60.00
Last column: nearest neighbours and their distance in Å.
Fractional positions:
Pr 0.0000 0.0000 0.0000  8 Ni 2.73
Ni 0.2500 0.2500 0.2500  4 Pr 2.73, 4 Ni 2.73
Ni 0.5000 0.5000 0.5000  8 Ni 2.73
Ni 0.7500 0.7500 0.7500  4 Pr 2.73, 4 Ni 2.73

=====

(7)
A geometry-optimized Rb4CdBr6 structure, computed with GGA-PBE.

Calculated volume, A^3/atom: 37.8
Energy, eV per atom: -2.8672

Lattice parameters (Å, degrees): 9.4044 9.4044 9.4044 89.22 89.22 89.22
Last column: nearest neighbours and their distance in Å.
Fractional positions:
Rb 0.1260 0.7500 0.3740  8 Br 3.53-3.69
Rb 0.2500 0.2500 0.2500  6 Br 3.40
Rb 0.2500 0.6260 0.8740  8 Br 3.53-3.69
Rb 0.3740 0.1259 0.7500  8 Br 3.53-3.69
Rb 0.6260 0.8740 0.2500  8 Br 3.53-3.69
Rb 0.7500 0.3740 0.1260  8 Br 3.53-3.69
Rb 0.7500 0.7500 0.7500  6 Br 3.40
Rb 0.8740 0.2500 0.6260  8 Br 3.53-3.69
Cd 0.0000 0.0000 0.0000  6 Br 2.85
Cd 0.5000 0.5000 0.5000  6 Br 2.85
Br 0.0596 0.9307 0.7111  1 Cd 2.85
Br 0.0693 0.2889 0.9404  1 Cd 2.85
Br 0.2111 0.4307 0.5596  1 Cd 2.85
Br 0.2889 0.9404 0.0693  1 Cd 2.85
Br 0.4307 0.5596 0.2111  1 Cd 2.85
Br 0.4404 0.7889 0.5693  1 Cd 2.85
Br 0.5596 0.2111 0.4307  1 Cd 2.85
Br 0.5693 0.4404 0.7889  1 Cd 2.85
Br 0.7111 0.0596 0.9307  1 Cd 2.85
Br 0.7889 0.5693 0.4404  1 Cd 2.85
Br 0.9307 0.7111 0.0596  1 Cd 2.85
Br 0.9404 0.0693 0.2889  1 Cd 2.85

=====

(8)
A geometry-optimized NaPu2S4 structure, computed with GGA-PBE.

Calculated volume, A^3/atom: 24.1
Energy, eV per atom: -8.1134

Lattice parameters (Å, degrees): 6.7567 6.7567 13.2283 90.00 90.00 145.98
Last column: nearest neighbours and their distance in Å.
Fractional positions:
Na 0.1072 0.8928 0.7500  6 S 2.85-3.15
Na 0.8928 0.1072 0.2500  6 S 2.85-3.15
Pu 0.3662 0.6338 0.5691  6 S 2.62-2.78
Pu 0.3662 0.6338 0.9309  6 S 2.62-2.78
Pu 0.6338 0.3662 0.0691  6 S 2.62-2.78
Pu 0.6338 0.3662 0.4309  6 S 2.62-2.78
S 0.0000 0.0000 0.0000  4 Pu 2.78
S 0.0000 0.0000 0.5000  4 Pu 2.78
S 0.2671 0.7329 0.1115  3 Pu 2.68-2.71
S 0.2671 0.7329 0.3885  3 Pu 2.68-2.71
S 0.4480 0.5520 0.7500  2 Pu 2.62, 2 Na 2.85
S 0.5520 0.4480 0.2500  2 Pu 2.62, 2 Na 2.85
S 0.7329 0.2671 0.6115  3 Pu 2.68-2.71
S 0.7329 0.2671 0.8885  3 Pu 2.68-2.71

=====

(9)
A geometry-optimized LaScPa structure, computed with GGA-PBE.

Polymorph energy (0 for the lowest one), meV/atom: 0.0
Calculated volume, A^3/atom: 31.6
Energy, eV per atom: -5.9665
ΔH_f (0 K), eV/atom: 0.949

Lattice parameters (Å, degrees): 5.1169 5.1169 5.1169 60.00 60.00 60.00
Last column: nearest neighbours and their distance in Å.
Fractional positions:
La 0.0000 0.0000 0.0000  4 Sc 3.13
Sc 0.2500 0.2500 0.2500  4 Pa 3.13, 4 La 3.13
Pa 0.5000 0.5000 0.5000  4 Sc 3.13

=====

(10)
A geometry-optimized TbPPbO structure, computed with GGA-PBE.

Polymorph energy (0 for the lowest one), meV/atom: 76.5
Calculated volume, A^3/atom: 21.3
Energy, eV per atom: -6.0169

Lattice parameters (Å, degrees): 4.2751 4.2751 9.3245 90.00 90.00 90.00
Last column: nearest neighbours and their distance in Å.
Fractional positions:
Tb 0.2500 0.2500 0.0973  4 O 2.32
Tb 0.7500 0.7500 0.9027  4 O 2.32
P 0.2500 0.2500 0.7286  4 Pb 3.02, 4 O 3.31
P 0.7500 0.7500 0.2714  4 Pb 3.02, 4 O 3.31
Pb 0.2500 0.7500 0.5000  4 P 3.02, 4 Pb 3.02
Pb 0.7500 0.2500 0.5000  4 P 3.02, 4 Pb 3.02
O 0.2500 0.7500 0.0000  4 Tb 2.32
O 0.7500 0.2500 0.0000  4 Tb 2.32

=====

(11)
A geometry-optimized ErPt3 structure, computed with GGA-PBE.

Calculated volume, A^3/atom: 17.1
Energy, eV per atom: -6.7382
ΔH_f (0 K), eV/atom: -1.056

Lattice parameters (Å, degrees): 4.0892 4.0892 4.0892 90.00 90.00 90.00
Last column: nearest neighbours and their distance in Å.
Fractional positions:
Er 0.0000 0.0000 0.0000  12 Pt 2.89
Pt 0.0000 0.5000 0.5000  4 Er 2.89, 8 Pt 2.89
Pt 0.5000 0.0000 0.5000  4 Er 2.89, 8 Pt 2.89
Pt 0.5000 0.5000 0.0000  4 Er 2.89, 8 Pt 2.89

=====

(12)
A geometry-optimized Ga2AgAuO4 structure, computed with GGA-PBE.

Calculated volume, A^3/atom: 12.2
Energy, eV per atom: -5.1897

Lattice parameters (Å, degrees): 3.0087 3.0087 12.4475 90.00 90.00 120.00
Last column: nearest neighbours and their distance in Å.
Fractional positions:
Ga 0.0000 0.0000 0.2501  6 O 2.01
Ga 0.0000 0.0000 0.7499  6 O 2.01
Ag 0.3333 0.6667 0.0000  2 O 2.11
Au 0.6667 0.3333 0.5000  2 O 2.11
O 0.3333 0.6667 0.1691  3 Ga 2.01, 1 Ag 2.11
O 0.3333 0.6667 0.8309  3 Ga 2.01, 1 Ag 2.11
O 0.6667 0.3333 0.3306  3 Ga 2.01, 1 Au 2.11
O 0.6667 0.3333 0.6694  3 Ga 2.01, 1 Au 2.11

=====

(13)
A geometry-optimized Hf4Zr2Ga3N3 structure, computed with GGA-PBE.

Calculated volume, A^3/atom: 15.7
Energy, eV per atom: -8.7250

Lattice parameters (Å, degrees): 5.5979 5.5979 14.2980 101.30 101.30 60.01
Last column: nearest neighbours and their distance in Å.
Fractional positions:
Hf 0.0270 0.1986 0.0891  3 N 2.23-2.24
Hf 0.1399 0.3036 0.4109  3 N 2.23
Hf 0.1986 0.0270 0.5891  3 N 2.23-2.24
Hf 0.3036 0.1399 0.9109  3 N 2.23
Hf 0.6964 0.8601 0.0891  3 N 2.23
Hf 0.8014 0.9730 0.4109  3 N 2.23-2.24
Hf 0.8601 0.6964 0.5891  3 N 2.23
Hf 0.9730 0.8014 0.9109  3 N 2.23-2.24
Zr 0.3671 0.5316 0.0950  3 N 2.30-2.31
Zr 0.4684 0.6329 0.4050  3 N 2.30-2.31
Zr 0.5316 0.3671 0.5950  3 N 2.30-2.31
Zr 0.6329 0.4684 0.9050  3 N 2.30-2.31
Ga 0.0622 0.9378 0.2500  4 Hf 2.88-2.89, 2 Zr 2.94, 4 Ga 3.13-3.14
Ga 0.2287 0.4172 0.7493  4 Hf 2.88, 2 Zr 2.93, 4 Ga 3.13-3.14
Ga 0.4172 0.2287 0.2493  4 Hf 2.88, 2 Zr 2.93, 4 Ga 3.13-3.14
Ga 0.5828 0.7713 0.7507  4 Hf 2.88, 2 Zr 2.93, 4 Ga 3.13-3.14
Ga 0.7713 0.5828 0.2507  4 Hf 2.88, 2 Zr 2.93, 4 Ga 3.13-3.14
Ga 0.9378 0.0622 0.7500  4 Hf 2.88-2.89, 2 Zr 2.94, 4 Ga 3.13-3.14
N 0.0000 0.5000 0.0000  4 Hf 2.23-2.24, 2 Zr 2.30
N 0.1594 0.6702 0.5000  4 Hf 2.23, 2 Zr 2.31
N 0.3298 0.8406 0.0000  4 Hf 2.23, 2 Zr 2.31
N 0.5000 0.0000 0.5000  4 Hf 2.23-2.24, 2 Zr 2.30
N 0.6702 0.1594 0.0000  4 Hf 2.23, 2 Zr 2.31
N 0.8406 0.3298 0.5000  4 Hf 2.23, 2 Zr 2.31

=====

(14)
A geometry-optimized Tb3DyAs4 structure, computed with GGA-PBE.

Calculated volume, A^3/atom: 24.9
Energy, eV per atom: -6.1765

Lattice parameters (Å, degrees): 7.1491 7.1491 4.1287 90.00 90.00 109.47
Last column: nearest neighbours and their distance in Å.
Fractional positions:
Tb 0.0000 0.0000 0.0000  6 As 2.92
Tb 0.0000 0.5000 0.5000  6 As 2.92
Tb 0.5000 0.0000 0.5000  6 As 2.92
Dy 0.5000 0.5000 0.0000  6 As 2.91
As 0.2504 0.7496 0.0000  1 Dy 2.91, 5 Tb 2.92
As 0.2508 0.2508 0.5000  2 Dy 2.91, 4 Tb 2.92
As 0.7492 0.7492 0.5000  2 Dy 2.91, 4 Tb 2.92
As 0.7496 0.2504 0.0000  1 Dy 2.91, 5 Tb 2.92

=====

(15)
A geometry-optimized Tm5Lu2Ni2Te2 structure, computed with GGA-PBE.

Polymorph energy (0 for the lowest one), meV/atom: 0.0
Calculated volume, A^3/atom: 25.0
Energy, eV per atom: -5.1219

Lattice parameters (Å, degrees): 9.1909 9.1909 9.1909 156.07 67.20 118.26
Last column: nearest neighbours and their distance in Å.
Fractional positions:
Tm 0.0000 0.0000 0.0000  3 Te 3.16-3.19
Tm 0.0820 0.7286 0.3534  2 Ni 2.79, 2 Te 3.12
Tm 0.3752 0.7286 0.6466  2 Ni 2.79, 2 Te 3.12
Tm 0.4471 0.5818 0.8653  2 Ni 2.75
Tm 0.7166 0.5818 0.1347  2 Ni 2.75
Lu 0.0618 0.3765 0.6853  2 Ni 2.74
Lu 0.6911 0.3765 0.3147  2 Ni 2.74
Ni 0.3049 0.0687 0.2362  2 Lu 2.74, 4 Tm 2.75-2.79
Ni 0.8325 0.0687 0.7638  2 Lu 2.74, 4 Tm 2.75-2.79
Te 0.3384 0.3384 0.0000  7 Tm 3.09-3.19
Te 0.7333 0.2333 0.5000  2 Lu 3.14, 6 Tm 3.15-3.16

=====

(16)
A geometry-optimized LiMgCu4As2 structure, computed with GGA-PBE.

Polymorph energy (0 for the lowest one), meV/atom: 22.4
Calculated volume, A^3/atom: 13.9
Energy, eV per atom: -3.5180

Lattice parameters (Å, degrees): 4.1686 4.1686 6.3879 90.00 90.00 90.00
Last column: nearest neighbours and their distance in Å.
Fractional positions:
Li 0.0000 0.0000 0.0000  8 Cu 2.58
Mg 0.5000 0.5000 0.5000  8 Cu 2.67, 4 As 2.95
Cu 0.0000 0.5000 0.2388  4 As 2.58-2.67, 2 Li 2.58, 2 Mg 2.67
Cu 0.0000 0.5000 0.7612  4 As 2.58-2.67, 2 Li 2.58, 2 Mg 2.67
Cu 0.5000 0.0000 0.2388  4 As 2.58-2.67, 2 Li 2.58, 2 Mg 2.67
Cu 0.5000 0.0000 0.7612  4 As 2.58-2.67, 2 Li 2.58, 2 Mg 2.67
As 0.0000 0.0000 0.5000  8 Cu 2.67, 4 Mg 2.95
As 0.5000 0.5000 0.0000  8 Cu 2.58

=====

(17)
A geometry-optimized BaZn2GaAu structure, computed with GGA-PBE.

Calculated volume, A^3/atom: 23.0
Energy, eV per atom: -2.5669

Lattice parameters (Å, degrees): 6.3800 6.3800 6.3800 138.06 138.06 60.82
Last column: nearest neighbours and their distance in Å.
Fractional positions:
Ba 0.0000 0.0000 0.0000  4 Au 3.49, 4 Ga 3.52, 8 Zn 3.53-3.62
Zn 0.2446 0.7446 0.5000  2 Ga 2.62, 2 Au 2.72
Zn 0.7446 0.2446 0.5000  2 Ga 2.62, 2 Au 2.72
Ga 0.6272 0.6272 0.0000  4 Zn 2.62, 1 Au 2.72
Au 0.3796 0.3796 0.0000  4 Zn 2.72, 1 Ga 2.72

=====

(18)
A geometry-optimized AcNbAl structure, computed with GGA-PBE.

Polymorph energy (0 for the lowest one), meV/atom: 685.4
Calculated volume, A^3/atom: 32.2
Energy, eV per atom: -4.6915

Lattice parameters (Å, degrees): 5.1529 5.1529 5.1529 60.00 60.00 60.00
Last column: nearest neighbours and their distance in Å.
Fractional positions:
Ac 0.0000 0.0000 0.0000  4 Al 3.16, 4 Nb 3.16
Nb 0.2500 0.2500 0.2500  4 Ac 3.16
Al 0.7500 0.7500 0.7500  4 Ac 3.16

=====

(19)
A geometry-optimized BaSmPb structure, computed with GGA-PBE.

Calculated volume, A^3/atom: 42.0
Energy, eV per atom: -3.6425

Lattice parameters (Å, degrees): 5.6261 5.6261 5.6261 60.00 60.00 60.00
Last column: nearest neighbours and their distance in Å.
Fractional positions:
Ba 0.0000 0.0000 0.0000  4 Pb 3.45
Sm 0.5000 0.5000 0.5000  4 Pb 3.45
Pb 0.2500 0.2500 0.2500  4 Ba 3.45, 4 Sm 3.45

=====

(20)
A geometry-optimized InAg2 structure, computed with GGA-PBE.

Calculated volume, A^3/atom: 20.0
Energy, eV per atom: -2.7651

Lattice parameters (Å, degrees): 5.5406 5.5406 5.5406 60.00 60.00 60.00
Last column: nearest neighbours and their distance in Å.
Fractional positions:
In 0.1250 0.1250 0.1250  12 Ag 3.25, 4 In 3.39
In 0.8750 0.8750 0.8750  12 Ag 3.25, 4 In 3.39
Ag 0.0000 0.5000 0.5000  6 Ag 2.77
Ag 0.5000 0.0000 0.5000  6 Ag 2.77
Ag 0.5000 0.5000 0.0000  6 Ag 2.77
Ag 0.5000 0.5000 0.5000  6 Ag 2.77